# 1
A geometry-optimized ZrGeIO2 structure. Source: Alexandria via LeMat-Bulk, functional PBE.

It has space group P4/mmm (No. 123), with a = 4.1494 Å, b = 4.1494 Å, c = 6.2923 Å, α = 90.00°, β = 90.00° and γ = 90.00°. The inequivalent atoms are Zr at (0.0000, 0.0000, 0.0000), Ge at (0.5000, 0.5000, 0.5000), I at (0.0000, 0.0000, 0.5000) and O at (0.0000, 0.5000, 0.0000).

As for the spin magnetization: 1.0 μB per formula unit. The raw formation energy is -1.21 eV per atom. As for the uncorrected energy: -6.141 eV per atom.

=====

# 2
A geometry-optimized K2Ag9Au6 structure. Source: Alexandria via LeMat-Bulk, functional PBE.

It has space group P6/mmm (No. 191), with a = 5.7903 Å, b = 5.7903 Å, c = 13.6812 Å, α = 90.00°, β = 90.00° and γ = 120.00°. The inequivalent atoms are K at (0.0000, 0.0000, 0.1746), Ag at (0.0000, 0.5000, 0.0000), Ag at (0.0000, 0.5000, 0.3356), Au at (0.3333, 0.6667, 0.1679) and Au at (0.3333, 0.6667, 0.5000).

As for the spin magnetization: 0.0 μB per formula unit. The energy relative to the elements comes out at -26 meV/atom. As for the uncorrected energy: -2.822 eV per atom.

=====

# 3
A geometry-optimized FeNiHg2 structure. Source: Alexandria via LeMat-Bulk, functional PBE.

It has space group Pm (No. 6), with a = 2.9448 Å, b = 4.2391 Å, c = 5.5035 Å, α = 90.00°, β = 101.43° and γ = 90.00°. The inequivalent atoms are Fe at (0.0000, 0.0000, 0.0000), Ni at (0.9519, 0.5000, 0.7714), Hg at (0.3500, 0.0000, 0.5584) and Hg at (0.6018, 0.5000, 0.2136).

As for the spin magnetization: 3.3 μB per formula unit. The energy relative to the elements comes out at 387 meV/atom. As for the uncorrected energy: -3.325 eV per atom.

=====

# 4
A geometry-optimized Sm2MnHg structure. Source: Alexandria via LeMat-Bulk, functional PBE.

It has space group Fm-3m (No. 225), with a = 7.4348 Å, b = 7.4348 Å, c = 7.4348 Å, α = 90.00°, β = 90.00° and γ = 90.00°. The inequivalent atoms are Sm at (0.2500, 0.2500, 0.2500), Mn at (0.0000, 0.0000, 0.0000) and Hg at (0.0000, 0.0000, 0.5000).

As for the spin magnetization: 3.2 μB per formula unit. The energy relative to the elements comes out at -64 meV/atom. As for the uncorrected energy: -4.792 eV per atom.

=====

Table of N(E_F) (states/eV/cell), in record order: 2.2 3.8 3.4 20.1
Table of density (g/cm3), in record order: 4.95 9.32 12.72 8.99